Entry 1:
DFT (GGA-PBE) results for a geometry-optimized DyErAsO2 structure.

Calculated values
Uncorrected formation energy   -62.373 kcal/mol of atoms

Structure (POSCAR):
```
DyErAsO2
1.0
-1.887 1.887 6.392
1.887 -1.887 6.392
1.887 1.887 -6.392
Dy Er As O
1 1 1 2
direct
0.000 0.000 0.000
0.321 0.321 0.000
0.661 0.661 0.000
0.409 0.909 0.500
0.909 0.409 0.500
```


Entry 2:
DFT (GGA-PBE) results for a geometry-optimized DyEr2PaAs4 structure.

Calculated values
ΔE_f   -1.407 eV/atom

Structure (POSCAR):
```
DyEr2PaAs4
1.0
7.069 0.000 0.000
0.000 4.097 0.000
-2.362 0.000 6.674
Dy Er Pa As
1 2 1 4
direct
0.000 0.000 0.000
0.500 0.000 0.500
0.500 0.500 0.000
0.000 0.500 0.500
0.250 0.500 0.253
0.251 0.000 0.749
0.749 0.000 0.251
0.750 0.500 0.747
```


Entry 3:
DFT (GGA-PBE) results for a geometry-optimized Dy4Er3PaAs8 structure.

Calculated values
ΔE_f   -1.478 eV/atom

Structure (POSCAR):
```
Dy4Er3PaAs8
1.0
4.096 2.365 6.694
-4.096 2.365 6.694
0.000 -4.729 6.694
Dy Er Pa As
4 3 1 8
direct
0.000 0.000 0.000
0.000 0.500 0.500
0.500 0.000 0.500
0.500 0.500 0.000
0.000 0.000 0.500
0.000 0.500 0.000
0.500 0.000 0.000
0.500 0.500 0.500
0.249 0.249 0.249
0.251 0.748 0.748
0.252 0.252 0.749
0.252 0.749 0.252
0.748 0.251 0.748
0.748 0.748 0.251
0.749 0.252 0.252
0.751 0.751 0.751
```


Entry 4:
DFT (GGA-PBE) results for a geometry-optimized Dy2ErPaAs5 structure.

Calculated values
ΔE_f   -0.456 eV/atom

Structure (POSCAR):
```
Dy2ErPaAs5
1.0
5.056 0.000 0.000
0.000 5.056 0.000
0.000 0.000 10.821
Dy Er Pa As
2 1 1 5
direct
0.000 0.000 0.234
0.000 0.000 0.766
0.500 0.500 0.500
0.500 0.500 0.000
0.000 0.000 0.500
0.000 0.500 0.000
0.500 0.000 0.000
0.500 0.500 0.255
0.500 0.500 0.745
```


no.,mass density (g cm⁻³),density of states at the Fermi level (states/eV/atom)
1,7.96,0.397
2,8.83,0.674
3,8.46,0.321
4,6.59,0.428